The following is a DFT calculation (PBE) of an optimized crystal structure of SbAu3I.

a b c (Å): 5.2856 5.2856 5.2856
angles (deg): 90.00 90.00 90.00
Space group Pm-3m (No. 221)
Asymmetric unit:
Sb1 0.0000 0.0000 0.0000 [1 per cell]
Au1 0.0000 0.0000 0.5000 [3 per cell]
I1 0.5000 0.5000 0.5000 [1 per cell]

Output
For the formation energy without anion corrections, the calculation gives 0.403 eV per atom. The density of states at the Fermi level comes out at 6.5 states/eV/cell. The calculation puts the relative energy among the computed polymorphs at 0.000 eV/atom. Its calculated volume is 147.7 Å³/f.u.

---

The following is a DFT calculation (PBE) of an optimized crystal structure of BeAsCl2.

a b c (Å): 3.0636 4.9273 13.7100
angles (deg): 90.00 90.00 90.00
Space group Imm2 (No. 44)
Asymmetric unit:
Be1 0.0000 0.0000 0.0000 [2 per cell]
As1 0.0000 0.5000 0.3569 [2 per cell]
Cl1 0.0000 0.0000 0.4007 [2 per cell]
Cl2 0.0000 0.5000 0.5985 [2 per cell]

Output
For the formation energy without anion corrections, the calculation gives -0.368 eV per atom. The density of states at the Fermi level comes out at 3.7 states/eV/cell. The calculation puts the relative energy among the computed polymorphs at 0.158 eV/atom. Its calculated volume is 103.5 Å³/f.u.

---

The following is a DFT calculation (PBE) of an optimized crystal structure of LiCa2LaZn.

a b c (Å): 5.4803 5.4803 5.0020
angles (deg): 90.00 90.00 90.00
Space group P4/mmm (No. 123)
Asymmetric unit:
Li1 0.0000 0.0000 0.0000 [1 per cell]
Ca1 0.0000 0.5000 0.0000 [2 per cell]
La1 0.5000 0.5000 0.5000 [1 per cell]
Zn1 0.0000 0.0000 0.5000 [1 per cell]

Output
The density of states at the Fermi level comes out at 3.7 states/eV/cell. Its calculated volume is 150.2 Å³/f.u. The formation energy is 0.210 eV per atom.

---

The following is a DFT calculation (PBE) of an optimized crystal structure of SrPr5Y6.

a b c (Å): 12.0847 11.0546 6.3738
angles (deg): 90.00 100.17 90.00
Space group C2/m (No. 12)
Asymmetric unit:
Sr1 0.0000 0.0000 0.0000 [2 per cell]
Pr1 0.0000 0.1721 0.5000 [4 per cell]
Pr2 0.0000 0.3385 0.0000 [4 per cell]
Pr3 0.0000 0.5000 0.5000 [2 per cell]
Y1 0.2445 0.3297 0.7460 [8 per cell]
Y2 0.2467 0.5000 0.2585 [4 per cell]

Output
The density of states at the Fermi level comes out at 33.2 states/eV/cell. Its calculated volume is 419.1 Å³/f.u. The formation energy is 0.058 eV per atom.

---

The following is a DFT calculation (PBE) of an optimized crystal structure of Tb5Pr2In.

a b c (Å): 4.9473 4.9473 20.5492
angles (deg): 90.00 90.00 90.00
Space group I4/mmm (No. 139)
Asymmetric unit:
Tb1 0.0000 0.0000 0.0000 [2 per cell]
Tb2 0.0000 0.5000 0.1185 [8 per cell]
Pr1 0.0000 0.0000 0.2446 [4 per cell]
In1 0.0000 0.0000 0.5000 [2 per cell]

Output
The density of states at the Fermi level comes out at 20.3 states/eV/cell. The calculation puts the relative energy among the computed polymorphs at 0.000 eV/atom. Its calculated volume is 251.5 Å³/f.u. The formation energy is -0.103 eV per atom.

---

The following is a DFT calculation (PBE) of an optimized crystal structure of InBiSe4.

a b c (Å): 9.3315 8.2647 9.2169
angles (deg): 90.00 90.00 90.00
Space group Cmcm (No. 63)
Asymmetric unit:
In1 0.0000 0.0440 0.2500 [4 per cell]
Bi1 0.0000 0.4933 0.2500 [4 per cell]
Se1 0.0000 0.2561 0.0288 [8 per cell]
Se2 0.2163 0.1583 0.7500 [8 per cell]

Output
For the formation energy without anion corrections, the calculation gives -0.077 eV per atom. The density of states at the Fermi level comes out at 19.9 states/eV/cell. Its calculated volume is 177.7 Å³/f.u.

---

The following is a DFT calculation (PBE) of an optimized crystal structure of TmTlPdPt.

a b c (Å): 6.7999 6.7999 6.7999
angles (deg): 90.00 90.00 90.00
Space group F-43m (No. 216)
Asymmetric unit:
Tm1 0.0000 0.0000 0.0000 [4 per cell]
Tl1 0.0000 0.0000 0.5000 [4 per cell]
Pd1 0.2500 0.2500 0.2500 [4 per cell]
Pt1 0.2500 0.2500 0.7500 [4 per cell]

Output
The density of states at the Fermi level comes out at 11.3 states/eV/cell. Its calculated volume is 78.6 Å³/f.u. The formation energy is -0.715 eV per atom.

---

The following is a DFT calculation (PBE) of an optimized crystal structure of TbSm7Dy12.

a b c (Å): 12.8480 12.8480 13.7554
angles (deg): 90.00 90.00 120.00
Space group R-3 (No. 148, hexagonal axes)
Asymmetric unit:
Tb1 0.0000 0.0000 0.0000 [3 per cell]
Sm1 0.0000 0.0000 0.5000 [3 per cell]
Sm2 0.0678 0.2007 0.8454 [18 per cell]
Dy1 0.0003 0.4346 0.7492 [18 per cell]
Dy2 0.0676 0.8663 0.3500 [18 per cell]

Output
The density of states at the Fermi level comes out at 54.7 states/eV/cell. The calculation puts the relative energy among the computed polymorphs at 0.000 eV/atom. Its calculated volume is 655.5 Å³/f.u. The formation energy is 0.281 eV per atom.

---

The following is a DFT calculation (PBE) of an optimized crystal structure of Sm5YTlIn2.

a b c (Å): 8.7738 8.7738 14.2470
angles (deg): 90.00 90.00 90.00
Space group I4/mcm (No. 140)
Asymmetric unit:
Sm1 0.0000 0.0000 0.0000 [4 per cell]
Sm2 0.2074 0.2926 0.1332 [16 per cell]
Y1 0.0000 0.5000 0.2500 [4 per cell]
Tl1 0.0000 0.0000 0.2500 [4 per cell]
In1 0.1086 0.3914 0.5000 [8 per cell]

Output
The density of states at the Fermi level comes out at 26.4 states/eV/cell. Its calculated volume is 274.2 Å³/f.u. The formation energy is -0.089 eV per atom.

---

The following is a DFT calculation (PBE) of an optimized crystal structure of Pm6NdHo12.

a b c (Å): 11.0870 11.0870 17.4425
angles (deg): 90.00 90.00 120.00
Space group R-3m (No. 166, hexagonal axes)
Asymmetric unit:
Pm1 0.0701 0.5351 0.2654 [18 per cell]
Nd1 0.0000 0.0000 0.5000 [3 per cell]
Ho1 0.1036 0.5518 0.9145 [18 per cell]
Ho2 0.1064 0.2127 0.9093 [18 per cell]

Output
The density of states at the Fermi level comes out at 91.2 states/eV/cell. The calculation puts the relative energy among the computed polymorphs at 0.000 eV/atom. Its calculated volume is 618.9 Å³/f.u. The formation energy is 0.115 eV per atom.

---

The following is a DFT calculation (PBE) of an optimized crystal structure of TlCdNiPb2.

a b c (Å): 5.1531 5.1531 5.1549
angles (deg): 90.00 90.00 90.00
Space group P4/mmm (No. 123)
Asymmetric unit:
Tl1 0.0000 0.0000 0.0000 [1 per cell]
Cd1 0.5000 0.5000 0.0000 [1 per cell]
Ni1 0.5000 0.5000 0.5000 [1 per cell]
Pb1 0.0000 0.5000 0.5000 [2 per cell]

Output
The density of states at the Fermi level comes out at 1.6 states/eV/cell. The calculation puts the relative energy among the computed polymorphs at 0.000 eV/atom. Its calculated volume is 136.9 Å³/f.u. The formation energy is 0.098 eV per atom.

---

The following is a DFT calculation (PBE) of an optimized crystal structure of MgTlPb14.

a b c (Å): 7.0918 7.0918 9.8275
angles (deg): 90.00 90.00 90.00
Space group P4/mmm (No. 123)
Asymmetric unit:
Mg1 0.0000 0.0000 0.0000 [1 per cell]
Tl1 0.5000 0.5000 0.0000 [1 per cell]
Pb1 0.0000 0.0000 0.5000 [1 per cell]
Pb2 0.0000 0.5000 0.0000 [2 per cell]
Pb3 0.0000 0.5000 0.5000 [2 per cell]
Pb4 0.2468 0.2468 0.2467 [8 per cell]
Pb5 0.5000 0.5000 0.5000 [1 per cell]

Output
The density of states at the Fermi level comes out at 6.9 states/eV/cell. Its calculated volume is 494.3 Å³/f.u. The formation energy is -0.001 eV per atom.